A geometry-optimized CsHg structure, computed with PBE.

Values from the calculation:
Its space group is Fm-3m (225). The formation energy is -155.4 meV/atom. The crystal system is cubic. For the density, the calculation gives 4.77 g/cm³.

Lattice parameters (Å, degrees): 7.746 7.746 7.746 90.00 90.00 90.00
Sites, in units of the cell vectors:
Cs: 0.000 0.000 0.000
Cs: 0.000 0.500 0.500
Cs: 0.500 0.000 0.500
Cs: 0.500 0.500 0.000
Hg: 0.000 0.000 0.500
Hg: 0.000 0.500 0.000
Hg: 0.500 0.000 0.000
Hg: 0.500 0.500 0.500